1.
Here is a relaxed ZnFeSe2 crystal from Alexandria. Energies are from PBE.

```
ZnFeSe2
1.0
-2.7687 1.4490 2.6306
-0.8375 -1.8565 3.5408
4.7515 3.8684 3.9673
Se Fe Zn
2 1 1
Direct
0.0127 0.0127 0.1264
0.7358 0.7358 0.6264
0.3297 0.3297 0.2033
0.4218 0.4218 0.5438
```

Raw formation energy (meV/atom): -79
Symmetry: No. 8
Total energy (eV per atom): -4.255


2.
Here is a relaxed ZnFeSe2 crystal from Alexandria. Energies are from PBE.

```
ZnFeSe2
1.0
3.2725 0.0000 0.0000
0.0000 4.6003 0.0000
0.0000 0.0000 4.6003
Se Zn Fe
2 1 1
Direct
0.0000 0.5000 0.5000
0.0000 0.0000 0.0000
0.5000 0.5000 0.0000
0.5000 0.0000 0.5000
```

Raw formation energy (meV/atom): 284
Symmetry: No. 123
Total energy (eV per atom): -3.892


3.
Here is a relaxed ZnFe2Se crystal from Alexandria. Energies are from PBE.

```
ZnFe2Se
1.0
4.3187 0.0000 0.0000
2.1593 3.7401 0.0000
2.1593 1.2467 3.5262
Fe Zn Se
2 1 1
Direct
0.0000 0.0000 0.0000
0.2500 0.2500 0.2500
0.7500 0.7500 0.7500
0.5000 0.5000 0.5000
```

Raw formation energy (meV/atom): 367
Symmetry: No. 216
Excess energy over the best structure of this formula in the dataset (kJ per mole of atoms): 28.1
Total energy (eV per atom): -5.054


4.
Here is a relaxed ZnFeSe2 crystal from Alexandria. Energies are from PBE.

```
ZnFeSe2
1.0
4.6582 0.0000 0.0000
2.3291 4.0341 0.0000
2.3291 1.3447 3.8034
Se Zn Fe
2 1 1
Direct
0.2500 0.2500 0.2500
0.0000 0.0000 0.0000
0.7500 0.7500 0.7500
0.5000 0.5000 0.5000
```

Raw formation energy (meV/atom): 565
Symmetry: No. 216
Total energy (eV per atom): -3.612